The following is a PBE+U calculation of a relaxed structure of Cs2NiIrO6, from Alexandria.

a = 5.183 Å, b = 6.422 Å, c = 6.422 Å
α = 120.00°, β = 90.00°, γ = 90.00°
Each line ends with the local moment (μB).
Sites, in units of the cell vectors:
O: 0.227 0.865 0.729  0.09
O: 0.773 0.135 0.271  0.09
O: 0.773 0.729 0.865  0.09
O: 0.227 0.271 0.135  0.09
O: 0.773 0.135 0.865  0.09
O: 0.227 0.865 0.135  0.09
Cs: 0.258 0.333 0.667  0.00
Cs: 0.742 0.667 0.333  0.00
Ir: 0.000 0.000 0.000  0.39
Ni: 0.500 0.000 0.000  1.64

N(E_F) ... 3.5 states/eV/cell
E_tot ... -5.216 eV/atom